1.
Here is Tm5PaN6 after structural relaxation from Alexandria via LeMat-Bulk. Energies are from PBE.

The structure in CIF format:
```
data_Tm5PaN6
_cell_length_a 5.920
_cell_length_b 5.920
_cell_length_c 5.917
_cell_angle_alpha 99.58
_cell_angle_beta 99.58
_cell_angle_gamma 119.99
_symmetry_space_group_name_H-M 'P 1'
_symmetry_Int_Tables_number 1
loop_
_symmetry_equiv_pos_as_xyz
'x,y,z'
loop_
_atom_site_label
_atom_site_type_symbol
_atom_site_fract_x
_atom_site_fract_y
_atom_site_fract_z
Tm1 Tm 0.000 0.000 0.000
Tm2 Tm 0.166 0.834 0.500
Tm3 Tm 0.331 0.669 0.000
Tm4 Tm 0.669 0.331 0.000
Tm5 Tm 0.834 0.166 0.500
Pa1 Pa 0.500 0.500 0.500
N1 N 0.091 0.417 0.252
N2 N 0.256 0.256 0.744
N3 N 0.417 0.091 0.252
N4 N 0.583 0.909 0.748
N5 N 0.744 0.744 0.256
N6 N 0.909 0.583 0.748
```

Summary:
Formation energy without anion corrections   -1.81 eV/atom
Total magnetization   0.00 μB/f.u.
Space group   C2/m
DOS at the Fermi energy   3.1 states/eV per cell

***

2.
Here is TmPa6N12 after structural relaxation from Alexandria via LeMat-Bulk. Energies are from PBE.

The structure in CIF format:
```
data_TmPa6N12
_cell_length_a 6.647
_cell_length_b 6.647
_cell_length_c 6.647
_cell_angle_alpha 99.65
_cell_angle_beta 99.65
_cell_angle_gamma 99.65
_symmetry_space_group_name_H-M 'P 1'
_symmetry_Int_Tables_number 1
loop_
_symmetry_equiv_pos_as_xyz
'x,y,z'
loop_
_atom_site_label
_atom_site_type_symbol
_atom_site_fract_x
_atom_site_fract_y
_atom_site_fract_z
Tm1 Tm 0.000 0.000 0.000
Pa1 Pa 0.137 0.599 0.293
Pa2 Pa 0.293 0.137 0.599
Pa3 Pa 0.401 0.707 0.863
Pa4 Pa 0.599 0.293 0.137
Pa5 Pa 0.707 0.863 0.401
Pa6 Pa 0.863 0.401 0.707
N1 N 0.064 0.924 0.328
N2 N 0.076 0.672 0.936
N3 N 0.177 0.437 0.589
N4 N 0.328 0.064 0.924
N5 N 0.411 0.823 0.563
N6 N 0.437 0.589 0.177
N7 N 0.563 0.411 0.823
N8 N 0.589 0.177 0.437
N9 N 0.672 0.936 0.076
N10 N 0.823 0.563 0.411
N11 N 0.924 0.328 0.064
N12 N 0.936 0.076 0.672
```

Summary:
Formation energy without anion corrections   -1.48 eV/atom
Total magnetization   0.00 μB/f.u.
Space group   R-3
DOS at the Fermi energy   16.0 states/eV per cell

***

3.
Here is TmPa2N3 after structural relaxation from Alexandria via LeMat-Bulk. Energies are from PBE.

The structure in CIF format:
```
data_TmPa2N3
_cell_length_a 3.458
_cell_length_b 4.901
_cell_length_c 10.440
_cell_angle_alpha 90.00
_cell_angle_beta 90.00
_cell_angle_gamma 90.00
_symmetry_space_group_name_H-M 'P 1'
_symmetry_Int_Tables_number 1
loop_
_symmetry_equiv_pos_as_xyz
'x,y,z'
loop_
_atom_site_label
_atom_site_type_symbol
_atom_site_fract_x
_atom_site_fract_y
_atom_site_fract_z
Tm1 Tm 0.000 0.000 0.000
Tm2 Tm 0.500 0.500 0.500
Pa1 Pa 0.000 0.000 0.334
Pa2 Pa 0.000 0.000 0.666
Pa3 Pa 0.500 0.500 0.166
Pa4 Pa 0.500 0.500 0.834
N1 N 0.000 0.500 0.000
N2 N 0.000 0.500 0.335
N3 N 0.000 0.500 0.665
N4 N 0.500 0.000 0.165
N5 N 0.500 0.000 0.500
N6 N 0.500 0.000 0.835
```

Summary:
Formation energy without anion corrections   -1.66 eV/atom
Total magnetization   0.00 μB/f.u.
Space group   Immm
DOS at the Fermi energy   8.8 states/eV per cell

***

4.
Here is Tm2UPaN4 after structural relaxation from Alexandria via LeMat-Bulk. Energies are from PBE.

The structure in CIF format:
```
data_Tm2UPaN4
_cell_length_a 5.917
_cell_length_b 3.415
_cell_length_c 6.001
_cell_angle_alpha 90.00
_cell_angle_beta 109.17
_cell_angle_gamma 90.00
_symmetry_space_group_name_H-M 'P 1'
_symmetry_Int_Tables_number 1
loop_
_symmetry_equiv_pos_as_xyz
'x,y,z'
loop_
_atom_site_label
_atom_site_type_symbol
_atom_site_fract_x
_atom_site_fract_y
_atom_site_fract_z
Tm1 Tm 0.000 0.000 0.000
Tm2 Tm 0.500 0.500 0.000
U1 U 0.000 0.500 0.500
Pa1 Pa 0.500 0.000 0.500
N1 N 0.246 0.000 0.749
N2 N 0.247 0.500 0.250
N3 N 0.753 0.500 0.750
N4 N 0.754 0.000 0.251
```

Summary:
Formation energy without anion corrections   -1.61 eV/atom
Total magnetization   1.26 μB/f.u.
Space group   P2/m
DOS at the Fermi energy   6.5 states/eV per cell

***

5.
Here is TmUPa2N6 after structural relaxation from Alexandria via LeMat-Bulk. Energies are from PBE.

The structure in CIF format:
```
data_TmUPa2N6
_cell_length_a 5.989
_cell_length_b 5.989
_cell_length_c 5.989
_cell_angle_alpha 59.52
_cell_angle_beta 59.52
_cell_angle_gamma 59.52
_symmetry_space_group_name_H-M 'P 1'
_symmetry_Int_Tables_number 1
loop_
_symmetry_equiv_pos_as_xyz
'x,y,z'
loop_
_atom_site_label
_atom_site_type_symbol
_atom_site_fract_x
_atom_site_fract_y
_atom_site_fract_z
Tm1 Tm 0.000 0.000 0.000
U1 U 0.493 0.493 0.493
Pa1 Pa 0.274 0.274 0.274
Pa2 Pa 0.776 0.776 0.776
N1 N 0.105 0.393 0.663
N2 N 0.177 0.876 0.592
N3 N 0.393 0.663 0.105
N4 N 0.592 0.177 0.876
N5 N 0.663 0.105 0.393
N6 N 0.876 0.592 0.177
```

Summary:
Formation energy without anion corrections   -1.54 eV/atom
Total magnetization   1.08 μB/f.u.
Space group   R3
DOS at the Fermi energy   0.6 states/eV per cell

***

6.
Here is TmU2PaN4 after structural relaxation from Alexandria via LeMat-Bulk. Energies are from PBE.

The structure in CIF format:
```
data_TmU2PaN4
_cell_length_a 5.963
_cell_length_b 3.433
_cell_length_c 5.976
_cell_angle_alpha 90.00
_cell_angle_beta 109.28
_cell_angle_gamma 90.00
_symmetry_space_group_name_H-M 'P 1'
_symmetry_Int_Tables_number 1
loop_
_symmetry_equiv_pos_as_xyz
'x,y,z'
loop_
_atom_site_label
_atom_site_type_symbol
_atom_site_fract_x
_atom_site_fract_y
_atom_site_fract_z
Tm1 Tm 0.000 0.000 0.000
U1 U 0.500 0.000 0.500
U2 U 0.500 0.500 0.000
Pa1 Pa 0.000 0.500 0.500
N1 N 0.251 0.000 0.758
N2 N 0.252 0.500 0.246
N3 N 0.748 0.500 0.754
N4 N 0.749 0.000 0.242
```

Summary:
Formation energy without anion corrections   -1.49 eV/atom
Total magnetization   2.49 μB/f.u.
Space group   P2/m
DOS at the Fermi energy   10.8 states/eV per cell

***

7.
Here is TmPa2WN6 after structural relaxation from Alexandria via LeMat-Bulk. Energies are from PBE.

The structure in CIF format:
```
data_TmPa2WN6
_cell_length_a 5.359
_cell_length_b 5.359
_cell_length_c 5.239
_cell_angle_alpha 90.00
_cell_angle_beta 90.00
_cell_angle_gamma 90.00
_symmetry_space_group_name_H-M 'P 1'
_symmetry_Int_Tables_number 1
loop_
_symmetry_equiv_pos_as_xyz
'x,y,z'
loop_
_atom_site_label
_atom_site_type_symbol
_atom_site_fract_x
_atom_site_fract_y
_atom_site_fract_z
Tm1 Tm 0.000 0.000 0.000
Pa1 Pa 0.000 0.500 0.427
Pa2 Pa 0.500 0.000 0.427
W1 W 0.500 0.500 0.034
N1 N 0.000 0.000 0.584
N2 N 0.261 0.261 0.193
N3 N 0.261 0.739 0.193
N4 N 0.500 0.500 0.678
N5 N 0.739 0.261 0.193
N6 N 0.739 0.739 0.193
```

Summary:
Formation energy without anion corrections   -1.10 eV/atom
Total magnetization   0.93 μB/f.u.
Space group   P4mm
DOS at the Fermi energy   5.1 states/eV per cell

***

8.
Here is Tm2PaWN6 after structural relaxation from Alexandria via LeMat-Bulk. Energies are from PBE.

The structure in CIF format:
```
data_Tm2PaWN6
_cell_length_a 5.879
_cell_length_b 5.879
_cell_length_c 5.879
_cell_angle_alpha 57.99
_cell_angle_beta 57.99
_cell_angle_gamma 57.99
_symmetry_space_group_name_H-M 'P 1'
_symmetry_Int_Tables_number 1
loop_
_symmetry_equiv_pos_as_xyz
'x,y,z'
loop_
_atom_site_label
_atom_site_type_symbol
_atom_site_fract_x
_atom_site_fract_y
_atom_site_fract_z
Tm1 Tm 0.000 0.000 0.000
Tm2 Tm 0.499 0.499 0.499
Pa1 Pa 0.725 0.725 0.725
W1 W 0.224 0.224 0.224
N1 N 0.093 0.852 0.409
N2 N 0.344 0.551 0.952
N3 N 0.409 0.093 0.852
N4 N 0.551 0.952 0.344
N5 N 0.852 0.409 0.093
N6 N 0.952 0.344 0.551
```

Summary:
Formation energy without anion corrections   -1.09 eV/atom
Total magnetization   0.00 μB/f.u.
Space group   R3
DOS at the Fermi energy   7.1 states/eV per cell

***

9.
Here is YTm2PaN4 after structural relaxation from Alexandria via LeMat-Bulk. Energies are from PBE.

The structure in CIF format:
```
data_YTm2PaN4
_cell_length_a 5.948
_cell_length_b 3.458
_cell_length_c 5.956
_cell_angle_alpha 90.00
_cell_angle_beta 109.16
_cell_angle_gamma 90.00
_symmetry_space_group_name_H-M 'P 1'
_symmetry_Int_Tables_number 1
loop_
_symmetry_equiv_pos_as_xyz
'x,y,z'
loop_
_atom_site_label
_atom_site_type_symbol
_atom_site_fract_x
_atom_site_fract_y
_atom_site_fract_z
Y1 Y 0.000 0.000 0.000
Tm1 Tm 0.500 0.000 0.500
Tm2 Tm 0.500 0.500 0.000
Pa1 Pa 0.000 0.500 0.500
N1 N 0.248 0.500 0.262
N2 N 0.250 0.000 0.745
N3 N 0.750 0.000 0.255
N4 N 0.752 0.500 0.738
```

Summary:
Formation energy without anion corrections   -1.74 eV/atom
Total magnetization   0.00 μB/f.u.
Space group   P2/m
DOS at the Fermi energy   3.4 states/eV per cell

***

10.
Here is YTmPa2N4 after structural relaxation from Alexandria via LeMat-Bulk. Energies are from PBE.

The structure in CIF format:
```
data_YTmPa2N4
_cell_length_a 6.005
_cell_length_b 3.463
_cell_length_c 6.036
_cell_angle_alpha 90.00
_cell_angle_beta 109.43
_cell_angle_gamma 90.00
_symmetry_space_group_name_H-M 'P 1'
_symmetry_Int_Tables_number 1
loop_
_symmetry_equiv_pos_as_xyz
'x,y,z'
loop_
_atom_site_label
_atom_site_type_symbol
_atom_site_fract_x
_atom_site_fract_y
_atom_site_fract_z
Y1 Y 0.000 0.000 0.000
Tm1 Tm 0.500 0.500 0.000
Pa1 Pa 0.000 0.500 0.500
Pa2 Pa 0.500 0.000 0.500
N1 N 0.253 0.000 0.747
N2 N 0.257 0.500 0.256
N3 N 0.743 0.500 0.744
N4 N 0.747 0.000 0.253
```

Summary:
Formation energy without anion corrections   -1.67 eV/atom
Total magnetization   0.00 μB/f.u.
Space group   P2/m
DOS at the Fermi energy   4.1 states/eV per cell